# DyEr2CdHg4, optimized geometry, DFT GGA-PBE
# Fermi-level density of states = 3.51 states/eV/f.u.
# calculated total energy = -19.215 eV per cell
# density = 12.0 g/cm³
# formation enthalpy at 0 K = -421 meV per atom
data_DyEr2CdHg4
_chemical_formula_sum 'Dy1 Er2 Cd1 Hg4'
_cell_length_a 5.127
_cell_length_b 5.127
_cell_length_c 9.096
_cell_angle_alpha 73.63
_cell_angle_beta 73.63
_cell_angle_gamma 60.00
_space_group_name_H-M_alt 'P 1'
_space_group_IT_number 1
loop_
_space_group_symop_operation_xyz
'x,y,z'
loop_
_atom_site_label
_atom_site_fract_x
_atom_site_fract_y
_atom_site_fract_z
_atom_site_occupancy
Dy1 0.000 0.000 0.000 1
Er1 0.757 0.757 0.730 1
Er2 0.243 0.243 0.270 1
Cd1 0.500 0.500 0.500 1
Hg1 0.370 0.370 0.891 1
Hg2 0.877 0.877 0.368 1
Hg3 0.123 0.123 0.632 1
Hg4 0.630 0.630 0.109 1